Entry 1:
## Dy2Pd3Au (PBE)

Data for a geometry-optimized Dy2Pd3Au structure.

Cell lengths 7.710, 8.942, 8.142 Å; angles 90.00, 90.00, 90.00 degrees
Space group Ibam (No. 72)
Unique sites:
Dy  0.198  0.182  0.000
Pd  0.000  0.000  0.250
Pd  0.000  0.304  0.250
Au  0.000  0.500  0.000

* total DFT energy (no corrections): -5.212 eV/atom
* relative energy among the computed polymorphs: 121.5 meV/atom
* energy of formation: -535.4 meV per atom
* mass density: 10.0 g/cm3

***

Entry 2:
## Dy3Pd2Au2 (PBE)

Data for a geometry-optimized Dy3Pd2Au2 structure.

Cell lengths 4.868, 4.916, 7.882 Å; angles 81.78, 82.40, 61.01 degrees
Space group P-1 (No. 2)
Unique sites:
Dy  0.000  0.000  0.000
Dy  0.292  0.285  0.317
Pd  0.057  0.075  0.644
Au  0.352  0.356  0.833

* total DFT energy (no corrections): -5.155 eV/atom
* energy of formation: -762.8 meV per atom
* mass density: 11.2 g/cm3

***

Entry 3:
## Dy8PdAu2 (PBE)

Data for a geometry-optimized Dy8PdAu2 structure.

Cell lengths 17.588, 5.078, 6.815 Å; angles 90.00, 102.57, 90.00 degrees
Space group C2/m (No. 12)
Unique sites:
Dy  0.029  0.000  0.276
Dy  0.089  0.500  0.949
Dy  0.161  0.500  0.472
Dy  0.204  0.000  0.826
Pd  0.000  0.500  0.500
Au  0.191  0.000  0.238

* total DFT energy (no corrections): -4.883 eV/atom
* energy of formation: -468.4 meV per atom
* mass density: 10.1 g/cm3

***

Entry 4:
## Dy2Pd3Au6 (PBE)

Data for a geometry-optimized Dy2Pd3Au6 structure.

Cell lengths 4.502, 4.673, 11.689 Å; angles 89.14, 89.97, 61.49 degrees
Space group P-1 (No. 2)
Unique sites:
Dy  0.149  0.207  0.308
Pd  0.182  0.130  0.812
Pd  0.500  0.500  0.500
Au  0.163  0.177  0.053
Au  0.174  0.150  0.569
Au  0.490  0.524  0.144

* total DFT energy (no corrections): -4.565 eV/atom
* energy of formation: -524.2 meV per atom
* mass density: 14.0 g/cm3

***

Entry 5:
## Dy2PdAu (PBE)

Data for a geometry-optimized Dy2PdAu structure.

Cell lengths 4.0930, 4.0930, 20.7221 Å; angles 90.00, 90.00, 120.00 degrees
Space group R-3m (No. 166, hexagonal axes)
Unique sites:
Dy  0.0000  0.0000  0.2453
Pd  0.0000  0.0000  0.5000
Au  0.0000  0.0000  0.0000

* total DFT energy (no corrections): -5.187 eV/atom
* energy of formation: -768.5 meV per atom
* mass density: 10.4 g/cm3

***

Entry 6:
## DyPd6Au23 (PBE)

Data for a geometry-optimized DyPd6Au23 structure.

Cell lengths 8.151, 8.151, 16.569 Å; angles 90.00, 90.00, 90.00 degrees
Space group I4/mmm (No. 139)
Unique sites:
Dy  0.000  0.000  0.000
Pd  0.000  0.000  0.249
Pd  0.248  0.248  0.000
Au  0.000  0.000  0.500
Au  0.000  0.249  0.374
Au  0.000  0.256  0.129
Au  0.000  0.500  0.000
Au  0.250  0.250  0.250

* total DFT energy (no corrections): -3.847 eV/atom
* energy of formation: -142.6 meV per atom
* mass density: 16.1 g/cm3

***

Entry 7:
## DyPd6Au5 (PBE)

Data for a geometry-optimized DyPd6Au5 structure.

Cell lengths 4.256, 7.737, 12.546 Å; angles 90.00, 90.00, 90.00 degrees
Space group Immm (No. 71)
Unique sites:
Dy  0.000  0.000  0.000
Pd  0.000  0.244  0.500
Pd  0.000  0.253  0.168
Au  0.000  0.000  0.331
Au  0.000  0.500  0.000
Au  0.000  0.500  0.334

* total DFT energy (no corrections): -4.708 eV/atom
* energy of formation: -362.4 meV per atom
* mass density: 14.4 g/cm3

***

Entry 8:
## Dy2Pd7Au2 (PBE)

Data for a geometry-optimized Dy2Pd7Au2 structure.

Cell lengths 9.330, 9.226, 5.268 Å; angles 90.00, 116.87, 90.00 degrees
Space group C2/m (No. 12)
Unique sites:
Dy  0.000  0.218  0.000
Pd  0.000  0.000  0.500
Pd  0.119  0.500  0.373
Pd  0.171  0.244  0.668
Au  0.230  0.500  0.967

* total DFT energy (no corrections): -5.271 eV/atom
* energy of formation: -533.8 meV per atom
* mass density: 12.0 g/cm3